1.
This record from Alexandria via LeMat-Bulk describes LaEr2Mg after structural relaxation. The functional is PBE.

a b c (Å): 3.4098 3.4098 12.3008
angles (deg): 82.03 82.03 60.00
With the nearest neighbours (Å) after each atom.
Fractional coordinates of all 4 atoms:
Er  0.0934  0.0934  0.7199  3 Mg 3.32, 1 La 3.40, 6 Er 3.41
Er  0.9066  0.9066  0.2801  3 Mg 3.32, 1 La 3.40, 6 Er 3.41
Mg  0.5000  0.5000  0.5000  6 Er 3.32, 6 Mg 3.41
La  0.0000  0.0000  0.0000  2 Er 3.40, 6 La 3.41

N(E_F)	5.912	states/eV/f.u.
magnetic moment	0.000	μB/atom
crystal system	trigonal

***

2.
This record from Alexandria via LeMat-Bulk describes KBe2As2 after structural relaxation. The functional is PBE.

a b c (Å): 3.6070 3.6070 7.9461
angles (deg): 76.88 76.88 90.00
With the nearest neighbours (Å) after each atom.
Fractional coordinates of all 5 atoms:
Be  0.2500  0.7500  0.5000  4 As 2.31, 4 Be 2.55
Be  0.7500  0.2500  0.5000  4 As 2.31, 4 Be 2.55
As  0.3464  0.3464  0.3072  4 Be 2.31
As  0.6536  0.6536  0.6928  4 Be 2.31
K  0.0000  0.0000  0.0000  8 As 3.44, 4 K 3.61

N(E_F)	0.791	states/eV/f.u.
magnetic moment	0.000	μB/atom
crystal system	tetragonal

***

Respective formation energy from the elements values: 0.674, -1.676 eV per formula unit.
Respective excess energy over the best structure of this formula in the dataset values: 189, 0 meV per atom.